(1)
First-principles (PBE) data for a geometry-optimized TiTlVCl6 structure, as listed in the Alexandria database.

a b c (Å): 6.380 6.380 14.500
angles (deg): 90.00 90.00 120.00
Positions (direct):
Ti 0.333 0.667 0.250
Ti 0.667 0.333 0.750
Tl 0.000 0.000 0.000
Tl 0.000 0.000 0.500
V 0.333 0.667 0.750
V 0.667 0.333 0.250
Cl 0.000 0.368 0.654
Cl 0.000 0.369 0.154
Cl 0.000 0.631 0.846
Cl 0.000 0.632 0.346
Cl 0.368 0.000 0.154
Cl 0.368 0.369 0.346
Cl 0.369 0.000 0.654
Cl 0.369 0.368 0.846
Cl 0.631 0.000 0.346
Cl 0.631 0.632 0.154
Cl 0.632 0.000 0.846
Cl 0.632 0.631 0.654

Values from the calculation:
formation energy (no corrections) = -1.321 eV/atom
Fermi-level density of states = 14.9 states/eV per cell
size of the total moment = 8.00 μB/cell
SG = P-31c



(2)
First-principles (PBE) data for a geometry-optimized TiTlZn2Cl8 structure, as listed in the Alexandria database.

a b c (Å): 10.404 10.404 10.404
angles (deg): 34.97 34.97 34.97
Positions (direct):
Ti 0.000 0.000 0.000
Tl 0.500 0.500 0.500
Zn 0.259 0.259 0.259
Zn 0.741 0.741 0.741
Cl 0.061 0.727 0.358
Cl 0.183 0.183 0.183
Cl 0.273 0.642 0.939
Cl 0.358 0.061 0.727
Cl 0.642 0.939 0.273
Cl 0.727 0.358 0.061
Cl 0.817 0.817 0.817
Cl 0.939 0.273 0.642

Values from the calculation:
formation energy (no corrections) = -1.222 eV/atom
Fermi-level density of states = 5.8 states/eV per cell
size of the total moment = 1.00 μB/cell
SG = R-3



(3)
First-principles (PBE) data for a geometry-optimized Tm2TiCl structure, as listed in the Alexandria database.

a b c (Å): 3.275 3.275 30.983
angles (deg): 90.00 90.00 120.00
Positions (direct):
Tm 0.000 0.000 0.094
Tm 0.000 0.000 0.906
Tm 0.333 0.667 0.572
Tm 0.333 0.667 0.761
Tm 0.667 0.333 0.239
Tm 0.667 0.333 0.428
Ti 0.000 0.000 0.000
Ti 0.333 0.667 0.667
Ti 0.667 0.333 0.333
Cl 0.000 0.000 0.500
Cl 0.333 0.667 0.167
Cl 0.667 0.333 0.833

Values from the calculation:
formation energy (no corrections) = -0.162 eV/atom
Fermi-level density of states = 11.9 states/eV per cell
size of the total moment = 6.22 μB/cell
SG = R-3m



Question: The highest formation energy (no corrections) belongs to which entry?
Answer: Tm2TiCl



Please write out number 3 again, unchanged.
First-principles (PBE) data for a geometry-optimized Tm2TiCl structure, as listed in the Alexandria database.

a b c (Å): 3.275 3.275 30.983
angles (deg): 90.00 90.00 120.00
Positions (direct):
Tm 0.000 0.000 0.094
Tm 0.000 0.000 0.906
Tm 0.333 0.667 0.572
Tm 0.333 0.667 0.761
Tm 0.667 0.333 0.239
Tm 0.667 0.333 0.428
Ti 0.000 0.000 0.000
Ti 0.333 0.667 0.667
Ti 0.667 0.333 0.333
Cl 0.000 0.000 0.500
Cl 0.333 0.667 0.167
Cl 0.667 0.333 0.833

Values from the calculation:
formation energy (no corrections) = -0.162 eV/atom
Fermi-level density of states = 11.9 states/eV per cell
size of the total moment = 6.22 μB/cell
SG = R-3m